# MgGe2S

Crystalline MgGe2S at its relaxed geometry (PBEsol, the Alexandria database).

The structure belongs to space group Fm-3m (No. 225); the cell edges are 6.6549, 6.6549 and 6.6549 Å and the angles 90.00°, 90.00° and 90.00°. The asymmetric unit holds Mg at (0.0000, 0.0000, 0.0000), Ge at (0.2500, 0.2500, 0.2500) and S at (0.0000, 0.0000, 0.5000).

Its raw formation energy is 0.231 eV/atom.